ZrSbTe2Rh at its PBEsol-relaxed geometry, computed with meta-GGA SCAN.

Results
volume	130	Å³/cell
E_tot	-34.98	eV per atom
spin magnetization	0.0	μB/cell
uncorrected formation energy	0.27	eV per atom
N(E_F)	3.96	states/eV per cell

a b c (Å): 5.1120 5.1120 4.9759
angles (deg): 90.00 90.00 90.00
Space group P4/mmm (No. 123)
Asymmetric unit:
Zr: 0.0000 0.0000 0.0000 (multiplicity 1)
Sb: 0.5000 0.5000 0.0000 (multiplicity 1)
Te: 0.0000 0.5000 0.5000 (multiplicity 2)
Rh: 0.5000 0.5000 0.5000 (multiplicity 1)

=====

Y2Cr at its PBEsol-relaxed geometry, computed with meta-GGA SCAN.

Results
volume	297	Å³/cell
formation energy	0.6	eV/f.u.
E_tot	-24.51	eV per atom
spin magnetization	12.5	μB/cell
N(E_F)	16.20	states/eV per cell

a b c (Å): 6.9656 6.9656 6.1227
angles (deg): 90.00 90.00 90.00
Space group I4/mcm (No. 140)
Asymmetric unit:
Y: 0.1705 0.3295 0.0000 (multiplicity 8)
Cr: 0.0000 0.0000 0.2500 (multiplicity 4)

=====

ScReAg at its PBEsol-relaxed geometry, computed with meta-GGA SCAN.

Results
volume	101	Å³/cell
formation energy	0.9	eV/f.u.
E_tot	-38.60	eV per atom
spin magnetization	0.0	μB/cell
N(E_F)	3.27	states/eV per cell

a b c (Å): 2.7024 4.1969 8.8631
angles (deg): 90.00 90.00 90.00
Space group Imm2 (No. 44)
Asymmetric unit:
Sc: 0.0000 0.0000 0.0000 (multiplicity 2)
Re: 0.0000 0.0000 0.3430 (multiplicity 2)
Ag: 0.0000 0.0000 0.6750 (multiplicity 2)

=====

InHgSCl2 at its PBEsol-relaxed geometry, computed with meta-GGA SCAN.

Results
volume	132	Å³/cell
E_tot	-25.63	eV per atom
spin magnetization	0.5	μB/cell
uncorrected formation energy	-0.20	eV per atom
N(E_F)	3.48	states/eV per cell

a b c (Å): 5.1788 5.1788 4.9366
angles (deg): 90.00 90.00 90.00
Space group P4/mmm (No. 123)
Asymmetric unit:
In: 0.0000 0.0000 0.0000 (multiplicity 1)
Hg: 0.5000 0.5000 0.5000 (multiplicity 1)
S: 0.5000 0.5000 0.0000 (multiplicity 1)
Cl: 0.0000 0.5000 0.5000 (multiplicity 2)

=====

LiSc2Ta at its PBEsol-relaxed geometry, computed with meta-GGA SCAN.

Results
volume	156	Å³/cell
formation energy	1.1	eV/f.u.
E_tot	-24.10	eV per atom
spin magnetization	0.0	μB/cell
N(E_F)	7.80	states/eV per cell

a b c (Å): 10.5175 3.0427 5.1252
angles (deg): 90.00 108.09 90.00
Space group Cm (No. 8)
Asymmetric unit:
Li: 0.0000 0.0000 0.0000 (multiplicity 2)
Sc: 0.0308 0.5000 0.5203 (multiplicity 2)
Sc: 0.2453 0.5000 0.1542 (multiplicity 2)
Ta: 0.2822 0.0000 0.6675 (multiplicity 2)

=====

SrSiIO2 at its PBEsol-relaxed geometry, computed with meta-GGA SCAN.

Results
volume	88	Å³/cell
E_tot	-17.33	eV per atom
spin magnetization	0.0	μB/cell
uncorrected formation energy	-1.03	eV per atom
N(E_F)	0.90	states/eV per cell

a b c (Å): 4.1387 4.1387 5.1600
angles (deg): 90.00 90.00 90.00
Space group P4/mmm (No. 123)
Asymmetric unit:
Sr: 0.0000 0.0000 0.0000 (multiplicity 1)
Si: 0.5000 0.5000 0.5000 (multiplicity 1)
I: 0.5000 0.5000 0.0000 (multiplicity 1)
O: 0.0000 0.5000 0.5000 (multiplicity 2)

=====

Ba3SiS5 at its PBEsol-relaxed geometry, computed with meta-GGA SCAN.

Results
volume	951	Å³/cell
E_tot	-21.63	eV per atom
spin magnetization	0.0	μB/cell
uncorrected formation energy	-1.99	eV per atom
N(E_F)	0.00	states/eV per cell

a b c (Å): 11.8487 9.4484 8.4989
angles (deg): 90.00 90.00 90.00
Space group Pnma (No. 62)
Asymmetric unit:
Ba: 0.0217 0.2500 0.1126 (multiplicity 4)
Ba: 0.1818 0.0191 0.5757 (multiplicity 8)
Si: 0.0976 0.7500 0.3065 (multiplicity 4)
S: 0.0043 0.7500 0.5178 (multiplicity 4)
S: 0.0545 0.5635 0.1846 (multiplicity 8)
S: 0.2250 0.2500 0.8489 (multiplicity 4)
S: 0.2350 0.7500 0.8165 (multiplicity 4)

=====

Sc2CoAu at its PBEsol-relaxed geometry, computed with meta-GGA SCAN.

Results
volume	221	Å³/cell
formation energy	0.0	eV/f.u.
E_tot	-28.73	eV per atom
spin magnetization	4.8	μB/cell
N(E_F)	8.27	states/eV per cell

a b c (Å): 3.1374 3.1374 25.8704
angles (deg): 90.00 90.00 120.00
Space group R3m (No. 160, hexagonal axes)
Asymmetric unit:
Sc: 0.0000 0.0000 0.0000 (multiplicity 3)
Sc: 0.0000 0.0000 0.2244 (multiplicity 3)
Co: 0.0000 0.0000 0.4906 (multiplicity 3)
Au: 0.0000 0.0000 0.7484 (multiplicity 3)

=====

PRhCl2 at its PBEsol-relaxed geometry, computed with meta-GGA SCAN.

Results
volume	228	Å³/cell
E_tot	-15.52	eV per atom
spin magnetization	0.0	μB/cell
uncorrected formation energy	-0.49	eV per atom

a b c (Å): 3.3712 3.3712 23.1408
angles (deg): 90.00 90.00 120.00
Space group R3m (No. 160, hexagonal axes)
Asymmetric unit:
P: 0.0000 0.0000 0.0000 (multiplicity 3)
Rh: 0.0000 0.0000 0.7138 (multiplicity 3)
Cl: 0.0000 0.0000 0.2528 (multiplicity 3)
Cl: 0.0000 0.0000 0.4504 (multiplicity 3)

=====

GdSi2Ag2 at its PBEsol-relaxed geometry, computed with meta-GGA SCAN.

Results
volume	180	Å³/cell
E_tot	-28.73	eV per atom
spin magnetization	14.2	μB/cell
uncorrected formation energy	-0.41	eV per atom
N(E_F)	2.02	states/eV per cell

a b c (Å): 4.1190 4.1190 10.5957
angles (deg): 90.00 90.00 90.00
Space group I4/mmm (No. 139)
Asymmetric unit:
Gd: 0.0000 0.0000 0.0000 (multiplicity 2)
Si: 0.0000 0.0000 0.3920 (multiplicity 4)
Ag: 0.0000 0.5000 0.2500 (multiplicity 4)

=====

La4Si4I3 at its PBEsol-relaxed geometry, computed with meta-GGA SCAN.

Results
volume	1258	Å³/cell
E_tot	-30.49	eV per atom
spin magnetization	0.0	μB/cell
uncorrected formation energy	-1.15	eV per atom
N(E_F)	10.96	states/eV per cell

a b c (Å): 24.2400 4.2044 12.4494
angles (deg): 90.00 97.62 90.00
Space group C2/m (No. 12)
Asymmetric unit:
La: 0.0035 0.0000 0.1662 (multiplicity 4)
La: 0.0744 0.5000 0.4448 (multiplicity 4)
La: 0.1391 0.0000 0.7081 (multiplicity 4)
La: 0.1453 0.0000 0.0242 (multiplicity 4)
Si: 0.0233 0.0000 0.5906 (multiplicity 4)
Si: 0.0433 0.5000 0.6820 (multiplicity 4)
Si: 0.0507 0.5000 0.0165 (multiplicity 4)
Si: 0.0966 0.5000 0.8597 (multiplicity 4)
I: 0.1324 0.0000 0.2879 (multiplicity 4)
I: 0.2010 0.5000 0.5716 (multiplicity 4)
I: 0.2436 0.5000 0.1301 (multiplicity 4)

=====

KBa2Sr at its PBEsol-relaxed geometry, computed with meta-GGA SCAN.

Results
volume	478	Å³/cell
formation energy	0.4	eV/f.u.
E_tot	-27.32	eV per atom
spin magnetization	0.5	μB/cell
N(E_F)	8.56	states/eV per cell

a b c (Å): 6.0948 6.0948 12.8663
angles (deg): 90.00 90.00 90.00
Space group I-4m2 (No. 119)
Asymmetric unit:
K: 0.0000 0.0000 0.0000 (multiplicity 2)
Ba: 0.0000 0.0000 0.5000 (multiplicity 2)
Ba: 0.0000 0.5000 0.7500 (multiplicity 2)
Sr: 0.0000 0.5000 0.2500 (multiplicity 2)

=====

SrFeOs at its PBEsol-relaxed geometry, computed with meta-GGA SCAN.

Results
volume	113	Å³/cell
formation energy	1.7	eV/f.u.
E_tot	-36.87	eV per atom
spin magnetization	5.7	μB/cell
N(E_F)	6.34	states/eV per cell

a b c (Å): 3.1377 3.1377 11.4717
angles (deg): 90.00 90.00 90.00
Space group I4mm (No. 107)
Asymmetric unit:
Sr: 0.0000 0.0000 0.0000 (multiplicity 2)
Fe: 0.0000 0.0000 0.2900 (multiplicity 2)
Os: 0.0000 0.0000 0.7098 (multiplicity 2)

=====

Mo3PC at its PBEsol-relaxed geometry, computed with meta-GGA SCAN.

Results
volume	67	Å³/cell
formation energy	1.8	eV/f.u.
E_tot	-24.67	eV per atom
spin magnetization	0.0	μB/cell
N(E_F)	2.23	states/eV per cell

a b c (Å): 4.0546 4.0546 4.0546
angles (deg): 90.00 90.00 90.00
Space group Pm-3m (No. 221)
Asymmetric unit:
Mo: 0.0000 0.0000 0.5000 (multiplicity 3)
P: 0.5000 0.5000 0.5000 (multiplicity 1)
C: 0.0000 0.0000 0.0000 (multiplicity 1)

=====

FeWAu2 at its PBEsol-relaxed geometry, computed with meta-GGA SCAN.

Results
volume	61	Å³/cell
formation energy	1.2	eV/f.u.
E_tot	-56.23	eV per atom
spin magnetization	2.9	μB/cell
N(E_F)	2.93	states/eV per cell

a b c (Å): 2.7068 4.0915 5.4972
angles (deg): 90.00 90.00 90.00
Space group Pmmm (No. 47)
Asymmetric unit:
Fe: 0.0000 0.0000 0.0000 (multiplicity 1)
W: 0.0000 0.0000 0.5000 (multiplicity 1)
Au: 0.5000 0.5000 0.2478 (multiplicity 2)

=====

NbGaTe3 at its PBEsol-relaxed geometry, computed with meta-GGA SCAN.

Results
volume	157	Å³/cell
E_tot	-32.08	eV per atom
spin magnetization	0.0	μB/cell
uncorrected formation energy	0.17	eV per atom
N(E_F)	3.04	states/eV per cell

a b c (Å): 5.3908 5.3908 5.3908
angles (deg): 90.00 90.00 90.00
Space group Pm-3m (No. 221)
Asymmetric unit:
Nb: 0.0000 0.0000 0.0000 (multiplicity 1)
Ga: 0.5000 0.5000 0.5000 (multiplicity 1)
Te: 0.0000 0.0000 0.5000 (multiplicity 3)

=====

RbBe4B3O9 at its PBEsol-relaxed geometry, computed with meta-GGA SCAN.

Results
volume	718	Å³/cell
E_tot	-9.67	eV per atom
spin magnetization	0.0	μB/cell
uncorrected formation energy	-2.82	eV per atom
N(E_F)	0.00	states/eV per cell

a b c (Å): 8.5266 13.2406 6.3561
angles (deg): 90.00 90.00 90.00
Space group Pnma (No. 62)
Asymmetric unit:
Rb: 0.0577 0.2500 0.1811 (multiplicity 4)
Be: 0.0606 0.5567 0.4028 (multiplicity 8)
Be: 0.2228 0.1433 0.6412 (multiplicity 8)
B: 0.0474 0.7500 0.3060 (multiplicity 4)
B: 0.1806 0.5370 0.7980 (multiplicity 8)
O: 0.0294 0.1607 0.6562 (multiplicity 8)
O: 0.0542 0.5378 0.6583 (multiplicity 8)
O: 0.1987 0.7500 0.2311 (multiplicity 4)
O: 0.2154 0.6200 0.9111 (multiplicity 8)
O: 0.2339 0.5530 0.3080 (multiplicity 8)

=====

Y3HOs at its PBEsol-relaxed geometry, computed with meta-GGA SCAN.

Results
volume	95	Å³/cell
E_tot	-31.79	eV per atom
spin magnetization	0.0	μB/cell
N(E_F)	5.77	states/eV per cell

a b c (Å): 4.5620 4.5620 4.5620
angles (deg): 90.00 90.00 90.00
Space group Pm-3m (No. 221)
Asymmetric unit:
Y: 0.0000 0.0000 0.5000 (multiplicity 3)
H: 0.0000 0.0000 0.0000 (multiplicity 1)
Os: 0.5000 0.5000 0.5000 (multiplicity 1)

=====

In2TcW at its PBEsol-relaxed geometry, computed with meta-GGA SCAN.

Results
volume	139	Å³/cell
formation energy	2.3	eV/f.u.
E_tot	-42.30	eV per atom
spin magnetization	0.0	μB/cell
N(E_F)	5.71	states/eV per cell

a b c (Å): 9.4704 3.0722 4.8920
angles (deg): 90.00 102.64 90.00
Space group C2/m (No. 12)
Asymmetric unit:
In: 0.2456 0.0000 0.2447 (multiplicity 4)
Tc: 0.0000 0.5000 0.0000 (multiplicity 2)
W: 0.0000 0.0000 0.5000 (multiplicity 2)

=====

CrMoBr at its PBEsol-relaxed geometry, computed with meta-GGA SCAN.

Results
volume	203	Å³/cell
E_tot	-23.65	eV per atom
spin magnetization	2.5	μB/cell
uncorrected formation energy	0.59	eV per atom
N(E_F)	5.51	states/eV per cell

a b c (Å): 3.1809 5.1933 12.2617
angles (deg): 90.00 90.00 90.00
Space group Fmm2 (No. 42)
Asymmetric unit:
Cr: 0.0000 0.0000 0.0000 (multiplicity 4)
Mo: 0.0000 0.0000 0.6321 (multiplicity 4)
Br: 0.0000 0.0000 0.3244 (multiplicity 4)